[1]
A plane-wave DFT calculation with PBEsol was carried out for an optimized crystal structure of Fe2MoCl.

Calculated values
Relative energy among the computed polymorphs (eV per atom): 0.000
Fermi-level density of states (states/eV/f.u.): 4.31
E_tot (eV per atom): -7.2952

Unit cell a=2.754 b=4.238 c=4.388 alpha=90.00 beta=90.00 gamma=90.00
Space group Pmmm (No. 47)
Asymmetric unit:
Fe: 0.000 0.000 0.000 (multiplicity 1)
Fe: 0.500 0.500 0.000 (multiplicity 1)
Mo: 0.000 0.500 0.500 (multiplicity 1)
Cl: 0.500 0.000 0.500 (multiplicity 1)

***

[2]
A plane-wave DFT calculation with PBEsol was carried out for an optimized crystal structure of ReRu3.

Calculated values
Relative energy among the computed polymorphs (eV per atom): 0.000
Fermi-level density of states (states/eV/f.u.): 3.03
ΔH_f (0 K) (eV per formula unit): -0.26
E_tot (eV per atom): -11.0272

Unit cell a=2.711 b=4.279 c=4.686 alpha=90.00 beta=90.00 gamma=90.00
Space group Pmm2 (No. 25)
Asymmetric unit:
Re: 0.000 0.000 0.000 (multiplicity 1)
Ru: 0.000 0.500 0.332 (multiplicity 1)
Ru: 0.500 0.000 0.492 (multiplicity 1)
Ru: 0.500 0.500 0.828 (multiplicity 1)

***

[3]
A plane-wave DFT calculation with PBEsol was carried out for an optimized crystal structure of La3Sb2.

Calculated values
Fermi-level density of states (states/eV/f.u.): 5.33
E_tot (eV per atom): -5.9418

Unit cell a=5.3927 b=5.3927 c=6.6191 alpha=90.00 beta=90.00 gamma=120.00
Space group P-3m1 (No. 164)
Asymmetric unit:
La: 0.0000 0.0000 0.0000 (multiplicity 1)
La: 0.3333 0.6667 0.3078 (multiplicity 2)
Sb: 0.3333 0.6667 0.7980 (multiplicity 2)